Record 1
DFT (PBE) results for a relaxed structure of CuAg.

```
CuAg
1.0
3.917 0.000 0.000
0.000 3.926 0.000
0.000 0.000 11.527
Cu Ag
6 6
direct
0.000 0.000 0.000 Cu
0.000 0.000 0.349 Cu
0.000 0.500 0.500 Cu
0.000 0.500 0.849 Cu
0.500 0.000 0.500 Cu
0.500 0.500 0.000 Cu
0.000 0.000 0.666 Ag
0.000 0.500 0.166 Ag
0.500 0.000 0.166 Ag
0.500 0.000 0.846 Ag
0.500 0.500 0.346 Ag
0.500 0.500 0.666 Ag
```

Values from the calculation:
For the energy of formation, the calculation gives 0.094 eV per atom.

***

Record 2
DFT (PBE) results for a relaxed structure of Cu3Ag7.

```
Cu3Ag7
1.0
7.442 -1.440 0.000
7.442 1.440 0.000
-2.142 0.000 7.555
Cu Ag
3 7
direct
0.000 0.000 0.000 Cu
0.406 0.406 0.196 Cu
0.594 0.594 0.804 Cu
0.000 0.000 0.500 Ag
0.193 0.193 0.083 Ag
0.198 0.198 0.612 Ag
0.405 0.405 0.711 Ag
0.595 0.595 0.289 Ag
0.802 0.802 0.388 Ag
0.807 0.807 0.917 Ag
```

Values from the calculation:
For the energy of formation, the calculation gives 0.076 eV per atom. The calculation puts the energy above the most stable polymorph in this dataset at 0.48 eV/f.u.

***

Record 3
DFT (PBE) results for a relaxed structure of CuAg.

```
CuAg
1.0
4.732 -1.421 0.000
4.732 1.421 0.000
-1.378 0.000 11.059
Cu Ag
5 5
direct
0.000 0.000 0.000 Cu
0.033 0.033 0.729 Cu
0.368 0.368 0.836 Cu
0.586 0.586 0.187 Cu
0.662 0.662 0.888 Cu
0.169 0.169 0.402 Ag
0.286 0.286 0.077 Ag
0.457 0.457 0.522 Ag
0.744 0.744 0.641 Ag
0.883 0.883 0.292 Ag
```

Values from the calculation:
For the energy of formation, the calculation gives 0.065 eV per atom.

***

Record 4
DFT (PBE) results for a relaxed structure of Cu3Ag2.

```
Cu3Ag2
1.0
4.700 0.000 0.000
-0.891 4.653 0.000
-1.568 -2.438 6.558
Cu Ag
6 4
direct
0.092 0.198 0.188 Cu
0.191 0.398 0.909 Cu
0.375 0.780 0.283 Cu
0.625 0.220 0.717 Cu
0.809 0.602 0.091 Cu
0.908 0.802 0.812 Cu
0.000 0.000 0.500 Ag
0.313 0.606 0.606 Ag
0.500 0.000 0.000 Ag
0.687 0.394 0.394 Ag
```

Values from the calculation:
For the energy of formation, the calculation gives 0.101 eV per atom. The calculation puts the energy above the most stable polymorph in this dataset at 0.30 eV/f.u.

***

Record 5
DFT (PBE) results for a relaxed structure of Cu3Ag7.

```
Cu3Ag7
1.0
7.476 -1.446 0.000
7.476 1.446 0.000
-2.040 0.000 7.526
Cu Ag
3 7
direct
0.000 0.000 0.000 Cu
0.002 0.002 0.503 Cu
0.198 0.198 0.100 Cu
0.196 0.196 0.599 Ag
0.404 0.404 0.702 Ag
0.408 0.408 0.206 Ag
0.597 0.597 0.813 Ag
0.599 0.599 0.287 Ag
0.798 0.798 0.390 Ag
0.798 0.798 0.911 Ag
```

Values from the calculation:
For the energy of formation, the calculation gives 0.076 eV per atom. The calculation puts the energy above the most stable polymorph in this dataset at 0.47 eV/f.u.

***

Record 6
DFT (PBE) results for a relaxed structure of CuAg8.

```
CuAg8
1.0
7.502 -1.464 0.000
7.502 1.464 0.000
-0.126 0.000 7.107
Cu Ag
1 8
direct
0.000 0.000 0.000 Cu
0.110 0.110 0.663 Ag
0.222 0.222 0.330 Ag
0.339 0.339 0.004 Ag
0.447 0.447 0.681 Ag
0.553 0.553 0.319 Ag
0.661 0.661 0.996 Ag
0.778 0.778 0.670 Ag
0.890 0.890 0.337 Ag
```

Values from the calculation:
For the energy of formation, the calculation gives 0.032 eV per atom. The calculation puts the energy above the most stable polymorph in this dataset at 0.11 eV/f.u.

***

Record 7
DFT (PBE) results for a relaxed structure of CuAg2.

```
CuAg2
1.0
9.474 0.000 0.000
0.000 2.862 0.000
-3.053 0.000 6.998
Cu Ag
4 8
direct
0.183 0.000 0.081 Cu
0.317 0.500 0.919 Cu
0.683 0.500 0.081 Cu
0.817 0.000 0.919 Cu
0.004 0.500 0.222 Ag
0.165 0.000 0.591 Ag
0.335 0.500 0.409 Ag
0.496 0.000 0.778 Ag
0.504 0.000 0.222 Ag
0.665 0.500 0.591 Ag
0.835 0.000 0.409 Ag
0.996 0.500 0.778 Ag
```

Values from the calculation:
For the energy of formation, the calculation gives 0.062 eV per atom. The calculation puts the energy above the most stable polymorph in this dataset at 0.09 eV/f.u.

***

Record 8
DFT (PBE) results for a relaxed structure of Cu3Ag2.

```
Cu3Ag2
1.0
7.050 -1.871 0.000
7.050 1.871 0.000
-1.083 0.000 5.423
Cu Ag
6 4
direct
0.000 0.000 0.000 Cu
0.000 0.000 0.500 Cu
0.402 0.402 0.701 Cu
0.599 0.599 0.301 Cu
0.811 0.811 0.417 Cu
0.812 0.812 0.895 Cu
0.205 0.205 0.107 Ag
0.207 0.207 0.601 Ag
0.407 0.407 0.204 Ag
0.594 0.594 0.797 Ag
```

Values from the calculation:
For the energy of formation, the calculation gives 0.095 eV per atom. The calculation puts the energy above the most stable polymorph in this dataset at 0.27 eV/f.u.

***

Record 9
DFT (PBE) results for a relaxed structure of Cu7Ag2.

```
Cu7Ag2
1.0
6.736 -1.361 0.000
6.736 1.361 0.000
-4.053 0.000 6.470
Cu Ag
7 2
direct
0.000 0.000 0.000 Cu
0.102 0.102 0.657 Cu
0.338 0.338 0.025 Cu
0.450 0.450 0.671 Cu
0.550 0.550 0.329 Cu
0.662 0.662 0.975 Cu
0.898 0.898 0.343 Cu
0.221 0.221 0.317 Ag
0.779 0.779 0.683 Ag
```

Values from the calculation:
For the energy of formation, the calculation gives 0.074 eV per atom. The calculation puts the energy above the most stable polymorph in this dataset at 0.25 eV/f.u.

***

Record 10
DFT (PBE) results for a relaxed structure of CuAg.

```
CuAg
1.0
6.996 -1.953 0.000
6.996 1.953 0.000
-1.136 0.000 5.405
Cu Ag
5 5
direct
0.000 0.000 0.000 Cu
0.194 0.194 0.106 Cu
0.401 0.401 0.704 Cu
0.599 0.599 0.296 Cu
0.806 0.806 0.894 Cu
0.000 0.000 0.500 Ag
0.204 0.204 0.613 Ag
0.399 0.399 0.179 Ag
0.601 0.601 0.821 Ag
0.796 0.796 0.387 Ag
```

Values from the calculation:
For the energy of formation, the calculation gives 0.100 eV per atom.

***

Record 11
DFT (PBE) results for a relaxed structure of CuAg.

```
CuAg
1.0
2.788 0.000 0.000
0.000 3.760 0.000
0.000 0.000 11.255
Cu Ag
4 4
direct
0.000 0.000 0.122 Cu
0.000 0.000 0.878 Cu
0.500 0.500 0.233 Cu
0.500 0.500 0.767 Cu
0.000 0.000 0.356 Ag
0.000 0.000 0.644 Ag
0.500 0.500 0.000 Ag
0.500 0.500 0.500 Ag
```

Values from the calculation:
For the energy of formation, the calculation gives 0.093 eV per atom.

***

Record 12
DFT (PBE) results for a relaxed structure of Cu2Ag7.

```
Cu2Ag7
1.0
7.410 -1.451 0.000
7.410 1.451 0.000
-4.902 0.000 7.012
Cu Ag
2 7
direct
0.172 0.172 0.344 Cu
0.828 0.828 0.656 Cu
0.167 0.167 0.002 Ag
0.172 0.172 0.662 Ag
0.496 0.496 0.666 Ag
0.500 0.500 0.000 Ag
0.504 0.504 0.334 Ag
0.828 0.828 0.338 Ag
0.833 0.833 0.998 Ag
```

Values from the calculation:
For the energy of formation, the calculation gives 0.064 eV per atom. The calculation puts the energy above the most stable polymorph in this dataset at 0.34 eV/f.u.